# 1
An optimized crystal structure of LiTmIn2I6. Source: the Alexandria database, functional PBE.

```
data_LiTmIn2I6
_chemical_formula_sum 'Li1 Tm1 In2 I6'
_cell_length_a 8.394
_cell_length_b 8.394
_cell_length_c 8.394
_cell_angle_alpha 59.08
_cell_angle_beta 59.08
_cell_angle_gamma 59.08
_symmetry_space_group_name_H-M 'P 1'
_symmetry_Int_Tables_number 1
loop_
_symmetry_equiv_pos_as_xyz
'x,y,z'
loop_
_atom_site_label
_atom_site_fract_x
_atom_site_fract_y
_atom_site_fract_z
Li1 0.000 0.000 0.000
Tm1 0.509 0.509 0.509
In1 0.212 0.212 0.212
In2 0.718 0.718 0.718
I1 0.178 0.347 0.763
I2 0.275 0.847 0.668
I3 0.347 0.763 0.178
I4 0.668 0.275 0.847
I5 0.763 0.178 0.347
I6 0.847 0.668 0.275
```

***

# 2
An optimized crystal structure of LiUInI6. Source: the Alexandria database, functional PBE.

```
data_LiUInI6
_chemical_formula_sum 'Li2 U2 In2 I12'
_cell_length_a 7.747
_cell_length_b 7.747
_cell_length_c 15.213
_cell_angle_alpha 90.00
_cell_angle_beta 90.00
_cell_angle_gamma 120.00
_symmetry_space_group_name_H-M 'P 1'
_symmetry_Int_Tables_number 1
loop_
_symmetry_equiv_pos_as_xyz
'x,y,z'
loop_
_atom_site_label
_atom_site_fract_x
_atom_site_fract_y
_atom_site_fract_z
Li1 0.333 0.667 0.250
Li2 0.667 0.333 0.750
U1 0.333 0.667 0.750
U2 0.667 0.333 0.250
In1 0.000 0.000 0.000
In2 0.000 0.000 0.500
I1 0.001 0.361 0.636
I2 0.001 0.640 0.864
I3 0.360 0.361 0.864
I4 0.360 0.999 0.636
I5 0.361 0.001 0.136
I6 0.361 0.360 0.364
I7 0.639 0.640 0.636
I8 0.639 0.999 0.864
I9 0.640 0.001 0.364
I10 0.640 0.639 0.136
I11 0.999 0.360 0.136
I12 0.999 0.639 0.364
```

***

# 3
An optimized crystal structure of Li2UInI8. Source: the Alexandria database, functional PBE.

```
data_Li2UInI8
_chemical_formula_sum 'Li2 U1 In1 I8'
_cell_length_a 7.179
_cell_length_b 7.476
_cell_length_c 9.764
_cell_angle_alpha 88.21
_cell_angle_beta 88.56
_cell_angle_gamma 84.08
_symmetry_space_group_name_H-M 'P 1'
_symmetry_Int_Tables_number 1
loop_
_symmetry_equiv_pos_as_xyz
'x,y,z'
loop_
_atom_site_label
_atom_site_fract_x
_atom_site_fract_y
_atom_site_fract_z
Li1 0.018 0.009 0.327
Li2 0.982 0.991 0.673
U1 0.500 0.500 0.000
In1 0.500 0.500 0.500
I1 0.214 0.170 0.509
I2 0.263 0.680 0.218
I3 0.264 0.680 0.781
I4 0.266 0.205 0.011
I5 0.734 0.795 0.989
I6 0.736 0.320 0.219
I7 0.737 0.320 0.782
I8 0.786 0.830 0.491
```

***

| no. | E_tot (eV per cell) | total moment (μB per cell) | DOS at the Fermi energy (states/eV per atom) |
| --- | --- | --- | --- |
| 1 | -30.63 | 0.00 | 0.00 |
| 2 | -65.21 | 4.00 | 1.22 |
| 3 | -39.88 | 0.98 | 0.02 |